A relaxed structure of NaNi2Bi2. Source: the Alexandria database, functional GGA-PBE.

Cell lengths 7.752, 7.752, 3.392 Å; angles 90.00, 90.00, 90.00 degrees
Element x y z (fractional)
Na1 0.000 0.000 0.000
Na2 0.500 0.500 0.000
Ni1 0.119 0.381 0.000
Ni2 0.381 0.881 0.000
Ni3 0.619 0.119 0.000
Ni4 0.881 0.619 0.000
Bi1 0.166 0.666 0.500
Bi2 0.334 0.166 0.500
Bi3 0.666 0.834 0.500
Bi4 0.834 0.334 0.500

Output
As for the energy of formation: 1.14 kcal/mol of atoms. For the total energy, the calculation gives -40.79 eV/cell. For the volume, the calculation gives 101.9 Å³/f.u. As for the density of states at the Fermi level: 3.19 states/eV/f.u.


A relaxed structure of NaNiBi3. Source: the Alexandria database, functional GGA-PBE.

Cell lengths 5.284, 5.284, 5.284 Å; angles 90.00, 90.00, 90.00 degrees
Element x y z (fractional)
Na1 0.000 0.000 0.000
Ni1 0.500 0.500 0.500
Bi1 0.000 0.500 0.500
Bi2 0.500 0.000 0.500
Bi3 0.500 0.500 0.000

Output
As for the energy of formation: 2.13 kcal/mol of atoms. For the total energy, the calculation gives -18.28 eV/cell. For the volume, the calculation gives 147.5 Å³/f.u. As for the density of states at the Fermi level: 4.84 states/eV/f.u.


A relaxed structure of Na2NiBi2. Source: the Alexandria database, functional GGA-PBE.

Cell lengths 8.750, 8.750, 3.329 Å; angles 90.00, 90.00, 90.00 degrees
Element x y z (fractional)
Na1 0.114 0.386 0.000
Na2 0.386 0.886 0.000
Na3 0.614 0.114 0.000
Na4 0.886 0.614 0.000
Ni1 0.000 0.000 0.000
Ni2 0.500 0.500 0.000
Bi1 0.189 0.689 0.500
Bi2 0.311 0.189 0.500
Bi3 0.689 0.811 0.500
Bi4 0.811 0.311 0.500

Output
As for the energy of formation: 9.16 kcal/mol of atoms. For the total energy, the calculation gives -28.39 eV/cell. For the volume, the calculation gives 127.5 Å³/f.u. As for the density of states at the Fermi level: 4.15 states/eV/f.u.


A relaxed structure of Na3NiBi. Source: the Alexandria database, functional GGA-PBE.

Cell lengths 5.932, 5.932, 5.932 Å; angles 90.00, 90.00, 90.00 degrees
Element x y z (fractional)
Na1 0.000 0.000 0.500
Na2 0.000 0.500 0.000
Na3 0.500 0.000 0.000
Ni1 0.500 0.500 0.500
Bi1 0.000 0.000 0.000

Output
As for the energy of formation: 14.49 kcal/mol of atoms. For the total energy, the calculation gives -10.48 eV/cell. For the volume, the calculation gives 208.7 Å³/f.u. As for the density of states at the Fermi level: 11.28 states/eV/f.u.


A relaxed structure of Na2NiBi2. Source: the Alexandria database, functional GGA-PBE.

Cell lengths 7.027, 7.027, 5.329 Å; angles 90.00, 90.00, 90.00 degrees
Element x y z (fractional)
Na1 0.166 0.334 0.000
Na2 0.334 0.834 0.000
Na3 0.666 0.166 0.000
Na4 0.834 0.666 0.000
Ni1 0.000 0.000 0.500
Ni2 0.500 0.500 0.500
Bi1 0.157 0.657 0.500
Bi2 0.343 0.157 0.500
Bi3 0.657 0.843 0.500
Bi4 0.843 0.343 0.500

Output
As for the energy of formation: -2.60 kcal/mol of atoms. For the total energy, the calculation gives -33.49 eV/cell. For the volume, the calculation gives 131.6 Å³/f.u. As for the density of states at the Fermi level: 2.64 states/eV/f.u.


A relaxed structure of NaNiBi3. Source: the Alexandria database, functional GGA-PBE.

Cell lengths 10.694, 10.694, 10.694 Å; angles 151.71, 150.64, 41.23 degrees
Element x y z (fractional)
Na1 0.323 0.073 0.250
Na2 0.677 0.927 0.750
Ni1 0.080 0.330 0.750
Ni2 0.920 0.670 0.250
Bi1 0.058 0.808 0.250
Bi2 0.210 0.460 0.750
Bi3 0.450 0.700 0.750
Bi4 0.550 0.300 0.250
Bi5 0.790 0.540 0.250
Bi6 0.942 0.192 0.750

Output
As for the energy of formation: -0.55 kcal/mol of atoms. For the total energy, the calculation gives -37.73 eV/cell. For the volume, the calculation gives 141.8 Å³/f.u. As for the density of states at the Fermi level: 3.54 states/eV/f.u.


A relaxed structure of Na2NiBi2. Source: the Alexandria database, functional GGA-PBE.

Cell lengths 9.067, 9.067, 9.067 Å; angles 151.98, 151.98, 40.05 degrees
Element x y z (fractional)
Na1 0.091 0.091 0.000
Na2 0.909 0.909 0.000
Ni1 0.500 0.500 0.000
Bi1 0.250 0.750 0.500
Bi2 0.750 0.250 0.500

Output
As for the energy of formation: 11.76 kcal/mol of atoms. For the total energy, the calculation gives -13.63 eV/cell. For the volume, the calculation gives 164.2 Å³/f.u. As for the density of states at the Fermi level: 8.60 states/eV/f.u.


A relaxed structure of NaNiBi3. Source: the Alexandria database, functional GGA-PBE.

Cell lengths 5.411, 5.411, 5.411 Å; angles 90.00, 90.00, 90.00 degrees
Element x y z (fractional)
Na1 0.000 0.000 0.000
Ni1 0.500 0.500 0.500
Bi1 0.000 0.000 0.500
Bi2 0.000 0.500 0.000
Bi3 0.500 0.000 0.000

Output
As for the energy of formation: 25.23 kcal/mol of atoms. For the total energy, the calculation gives -13.27 eV/cell. For the volume, the calculation gives 158.4 Å³/f.u. As for the density of states at the Fermi level: 5.83 states/eV/f.u.


A relaxed structure of NaNi2Bi2. Source: the Alexandria database, functional GGA-PBE.

Cell lengths 6.690, 6.690, 6.690 Å; angles 141.00, 141.00, 56.33 degrees
Element x y z (fractional)
Na1 0.000 0.000 0.000
Ni1 0.250 0.750 0.500
Ni2 0.750 0.250 0.500
Bi1 0.362 0.362 0.000
Bi2 0.638 0.638 0.000

Output
As for the energy of formation: 0.53 kcal/mol of atoms. For the total energy, the calculation gives -20.53 eV/cell. For the volume, the calculation gives 117.6 Å³/f.u. As for the density of states at the Fermi level: 3.18 states/eV/f.u.


A relaxed structure of NaNi2Bi2. Source: the Alexandria database, functional GGA-PBE.

Cell lengths 5.787, 5.787, 5.787 Å; angles 129.66, 129.66, 73.96 degrees
Element x y z (fractional)
Na1 0.000 0.000 0.000
Ni1 0.372 0.372 0.000
Ni2 0.628 0.628 0.000
Bi1 0.250 0.750 0.500
Bi2 0.750 0.250 0.500

Output
As for the energy of formation: 2.24 kcal/mol of atoms. For the total energy, the calculation gives -20.16 eV/cell. For the volume, the calculation gives 112.1 Å³/f.u. As for the density of states at the Fermi level: 3.96 states/eV/f.u.